(1)
Compound: ScCr2Sb
Source: Alexandria
Functional: PBE-GGA
Structure: optimized geometry

Summary:
N(E_F) (states/eV/cell): 5.00
Formation energy (no corrections) (eV/atom): 0.129
Calculated total energy (eV/atom): -7.2966
Total moment (μB per formula unit): 1.65
Crystal system: cubic
V (Å³/f.u.): 72.1
Theoretical density (g/cm3): 6.2

Cell: 4.671 4.671 4.671 Å, 60.00 60.00 60.00°
Fractional coordinates of all 4 atoms:
Sc1 0.250 0.250 0.250
Cr1 0.750 0.750 0.750
Sb1 0.500 0.500 0.500
Cr2 0.000 0.000 0.000

---

(2)
Compound: Na2AuCl4
Source: Alexandria
Functional: PBE-GGA
Structure: optimized geometry

Summary:
N(E_F) (states/eV/cell): 2.94
Formation energy (no corrections) (eV/atom): -1.080
Polymorph energy (0 for the lowest one) (meV per atom): 0
Calculated total energy (eV/atom): -2.9808
Total moment (μB per formula unit): 0.00
Crystal system: tetragonal
V (Å³/f.u.): 178.2
Theoretical density (g/cm3): 3.6

Cell: 6.899 6.899 6.150 Å, 124.12 124.12 90.00°
Fractional coordinates of all 7 atoms:
Na1 0.250 0.750 0.500
Na2 0.750 0.250 0.500
Cl1 0.750 0.750 0.000
Cl2 0.249 0.249 0.000
Cl3 0.751 0.250 0.000
Au1 0.500 0.500 0.000
Cl4 0.250 0.751 0.000

---

(3)
Compound: Sr2AgRh
Source: Alexandria
Functional: PBE-GGA
Structure: optimized geometry

Summary:
N(E_F) (states/eV/cell): 1.78
Calculated total energy (eV/atom): -3.6293
Total moment (μB per formula unit): 0.00
Crystal system: orthorhombic
V (Å³/f.u.): 114.4
Formation energy (eV/atom): -0.2377
Theoretical density (g/cm3): 5.6

Cell: 4.559 4.391 6.121 Å, 68.98 90.00 90.00°
Fractional coordinates of all 4 atoms:
Rh1 0.500 0.556 0.763
Sr1 0.500 0.266 0.343
Ag1 0.000 0.692 0.491
Sr2 0.000 0.986 0.903

---

(4)
Compound: MgFeCo2
Source: Alexandria
Functional: PBE-GGA
Structure: optimized geometry

Summary:
N(E_F) (states/eV/cell): 4.30
Calculated total energy (eV/atom): -5.9728
Total moment (μB per formula unit): 4.93
Crystal system: tetragonal
V (Å³/f.u.): 49.3
Formation energy (eV/atom): 0.0944
Theoretical density (g/cm3): 6.7

Cell: 4.087 4.087 2.951 Å, 90.00 90.00 90.00°
Fractional coordinates of all 4 atoms:
Fe1 0.500 0.000 0.500
Co1 0.000 0.000 0.000
Mg1 0.000 0.500 0.500
Co2 0.500 0.500 0.000

---

(5)
Compound: CaZrSb2I
Source: Alexandria
Functional: PBE-GGA
Structure: optimized geometry

Summary:
N(E_F) (states/eV/cell): 2.88
Formation energy (no corrections) (eV/atom): -0.320
Polymorph energy (0 for the lowest one) (meV per atom): 0
Calculated total energy (eV/atom): -4.3891
Total moment (μB per formula unit): 0.00
Crystal system: tetragonal
V (Å³/f.u.): 179.8
Theoretical density (g/cm3): 4.6

Cell: 5.573 5.573 5.791 Å, 90.00 90.00 90.00°
Fractional coordinates of all 5 atoms:
Ca1 0.500 0.500 0.500
Sb1 0.500 0.000 0.000
Zr1 0.000 0.000 0.000
I1 0.000 0.000 0.500
Sb2 0.000 0.500 0.000

---

(6)
Compound: Sr2TeRuS
Source: Alexandria
Functional: PBE-GGA
Structure: optimized geometry

Summary:
N(E_F) (states/eV/cell): 4.26
Formation energy (no corrections) (eV/atom): 0.046
Calculated total energy (eV/atom): -3.9359
Total moment (μB per formula unit): 2.35
Crystal system: tetragonal
V (Å³/f.u.): 168.3
Theoretical density (g/cm3): 4.3

Cell: 5.624 5.320 5.624 Å, 90.00 90.00 90.00°
Fractional coordinates of all 5 atoms:
Sr1 0.000 0.000 0.500
Sr2 0.500 0.000 0.000
Te1 0.000 0.500 0.000
Ru1 0.500 0.500 0.500
S1 0.000 0.000 0.000

---

(7)
Compound: BaTl2In
Source: Alexandria
Functional: PBE-GGA
Structure: optimized geometry

Summary:
N(E_F) (states/eV/cell): 2.00
Calculated total energy (eV/atom): -2.5793
Total moment (μB per formula unit): 0.00
Crystal system: orthorhombic
V (Å³/f.u.): 133.6
Formation energy (eV/atom): -0.2308
Theoretical density (g/cm3): 8.2

Cell: 4.042 4.162 7.939 Å, 90.00 90.00 90.00°
Fractional coordinates of all 4 atoms:
In1 0.500 0.500 0.794
Tl1 0.500 0.500 0.209
Ba1 0.000 0.000 0.502
Tl2 0.000 0.000 0.994

---

(8)
Compound: NaCrReBr2
Source: Alexandria
Functional: PBE-GGA
Structure: optimized geometry

Summary:
N(E_F) (states/eV/cell): 2.79
Formation energy (no corrections) (eV/atom): 0.542
Calculated total energy (eV/atom): -4.8048
Total moment (μB per formula unit): 2.33
Crystal system: tetragonal
V (Å³/f.u.): 135.7
Theoretical density (g/cm3): 5.1

Cell: 5.357 4.730 5.357 Å, 90.00 90.00 90.00°
Fractional coordinates of all 5 atoms:
Na1 0.500 0.500 0.500
Br1 0.000 0.000 0.500
Cr1 0.000 0.500 0.000
Br2 0.500 0.000 0.000
Re1 0.000 0.000 0.000

---

(9)
Compound: TcB2Ru
Source: Alexandria
Functional: PBE-GGA
Structure: optimized geometry

Summary:
N(E_F) (states/eV/cell): 7.80
Polymorph energy (0 for the lowest one) (meV per atom): 333
Calculated total energy (eV/atom): -8.0473
Total moment (μB per formula unit): 0.00
Crystal system: tetragonal
V (Å³/f.u.): 44.3
Formation energy (eV/atom): 0.2019
Theoretical density (g/cm3): 8.3

Cell: 5.550 5.550 4.865 Å, 55.22 55.22 90.00°
Fractional coordinates of all 8 atoms:
Ru1 0.000 0.000 0.000
Tc1 0.250 0.750 0.500
B1 0.375 0.370 0.750
Ru2 0.750 0.250 0.500
B2 0.875 0.880 0.750
B3 0.630 0.125 0.250
B4 0.120 0.625 0.250
Tc2 0.500 0.500 0.000

---

(10)
Compound: In2Cu2Te
Source: Alexandria
Functional: PBE-GGA
Structure: optimized geometry

Summary:
N(E_F) (states/eV/cell): 2.29
Formation energy (no corrections) (eV/atom): 0.165
Polymorph energy (0 for the lowest one) (meV per atom): 87
Calculated total energy (eV/atom): -3.1973
Total moment (μB per formula unit): 0.00
Crystal system: tetragonal
V (Å³/f.u.): 106.6
Theoretical density (g/cm3): 7.5

Cell: 8.538 8.538 2.924 Å, 90.00 90.00 90.00°
Fractional coordinates of all 10 atoms:
Cu1 0.399 0.101 0.500
Cu2 0.899 0.399 0.500
In1 0.310 0.810 0.000
Te1 0.000 0.000 0.000
Cu3 0.601 0.899 0.500
In2 0.810 0.690 0.000
In3 0.190 0.310 0.000
Cu4 0.101 0.601 0.500
Te2 0.500 0.500 0.000
In4 0.690 0.190 0.000

---

(11)
Compound: Zr2HW
Source: Alexandria
Functional: PBE-GGA
Structure: optimized geometry

Summary:
N(E_F) (states/eV/cell): 3.76
Polymorph energy (0 for the lowest one) (meV per atom): 283
Calculated total energy (eV/atom): -7.7812
Total moment (μB per formula unit): 0.00
Crystal system: cubic
V (Å³/f.u.): 68.7
Theoretical density (g/cm3): 8.9

Cell: 4.598 4.598 4.598 Å, 60.00 60.00 60.00°
Fractional coordinates of all 4 atoms:
Zr1 0.750 0.750 0.750
W1 0.500 0.500 0.500
Zr2 0.250 0.250 0.250
H1 0.000 0.000 0.000

---

(12)
Compound: BeAg2Au
Source: Alexandria
Functional: PBE-GGA
Structure: optimized geometry

Summary:
N(E_F) (states/eV/cell): 0.99
Calculated total energy (eV/atom): -3.0355
Total moment (μB per formula unit): 0.00
Crystal system: trigonal
V (Å³/f.u.): 63.5
Formation energy (eV/atom): 0.1410
Theoretical density (g/cm3): 11.0

Cell: 8.887 8.887 8.887 Å, 18.77 18.77 18.77°
Fractional coordinates of all 4 atoms:
Ag1 0.012 0.012 0.012
Au1 0.250 0.250 0.250
Ag2 0.488 0.488 0.488
Be1 0.750 0.750 0.750